Material: ZnCoBIr
Method: DFT, PBE-GGA
State: relaxed

The structure in POSCAR format:
```
ZnCoBIr
1.0
0.000 2.813 2.813
2.813 0.000 2.813
2.813 2.813 0.000
Zn B Ir Co
1 1 1 1
Direct
0.500 0.500 0.500 Zn
0.000 0.000 0.000 B
0.250 0.250 0.250 Ir
0.750 0.750 0.750 Co
```

Output
* spin magnetization: 0.00 μB/f.u.
* uncorrected energy: -5.7897 eV per atom
* symmetry: F-43m, No. 216

=====

Material: ZrGaBi
Method: DFT, PBE-GGA
State: relaxed

The structure in POSCAR format:
```
ZrGaBi
1.0
-2.307 -1.387 4.174
-2.803 3.259 2.489
-4.941 -0.508 0.056
Ga Bi Zr
1 1 1
Direct
0.250 0.250 0.250 Ga
0.000 0.000 0.000 Bi
0.750 0.750 0.750 Zr
```

Output
* spin magnetization: 0.00 μB/f.u.
* uncorrected energy: -4.8087 eV per atom
* symmetry: F-43m, No. 216

=====

Material: HfReHg2
Method: DFT, PBE-GGA
State: relaxed

The structure in POSCAR format:
```
HfReHg2
1.0
0.000 3.378 3.378
3.378 0.000 3.378
3.378 3.378 0.000
Re Hg Hf
1 2 1
Direct
0.500 0.500 0.500 Re
0.000 0.000 0.000 Hg
0.750 0.750 0.750 Hg
0.250 0.250 0.250 Hf
```

Output
* spin magnetization: 0.00 μB/f.u.
* E_form: 0.55 eV/atom
* symmetry: F-43m, No. 216

=====

Material: AlTcOsW
Method: DFT, PBE-GGA
State: relaxed

The structure in POSCAR format:
```
AlTcOsW
1.0
3.343 -1.832 2.123
-0.662 -1.938 3.853
0.258 -4.343 0.331
Al Tc Os W
1 1 1 1
Direct
0.500 0.500 0.500 Al
0.250 0.250 0.250 Tc
0.750 0.750 0.750 Os
0.000 0.000 0.000 W
```

Output
* spin magnetization: 0.00 μB/f.u.
* uncorrected energy: -9.8853 eV per atom
* symmetry: F-43m, No. 216

=====

Material: MgAlTcMo
Method: DFT, PBE-GGA
State: relaxed

The structure in POSCAR format:
```
MgAlTcMo
1.0
0.000 3.126 3.126
3.126 0.000 3.126
3.126 3.126 0.000
Tc Al Mg Mo
1 1 1 1
Direct
0.250 0.250 0.250 Tc
0.500 0.500 0.500 Al
0.750 0.750 0.750 Mg
0.000 0.000 0.000 Mo
```

Output
* spin magnetization: 0.00 μB/f.u.
* uncorrected energy: -6.7581 eV per atom
* symmetry: F-43m, No. 216

=====

Material: GdPa2Pt2
Method: DFT, PBE-GGA
State: relaxed

The structure in POSCAR format:
```
GdPa2Pt2
1.0
-2.672 2.672 4.779
2.672 -2.672 4.779
2.672 2.672 -4.779
Gd Pt Pa
1 2 2
Direct
0.000 0.000 0.000 Gd
0.500 0.000 0.500 Pt
0.000 0.500 0.500 Pt
0.358 0.358 0.000 Pa
0.642 0.642 0.000 Pa
```

Output
* spin magnetization: 0.06 μB/f.u.
* E_form: -0.19 eV/atom
* symmetry: I4/mmm, No. 139

=====

Material: NdSiO4
Method: DFT, PBE-GGA
State: relaxed

The structure in POSCAR format:
```
NdSiO4
1.0
3.991 -2.709 -3.498
-5.338 -0.888 -2.495
0.672 5.896 0.538
O Si Nd
8 2 2
Direct
0.787 0.572 0.359 O
0.641 0.928 0.213 O
0.715 0.428 0.787 O
0.787 0.928 0.714 O
0.286 0.572 0.213 O
0.213 0.428 0.641 O
0.213 0.072 0.285 O
0.359 0.072 0.787 O
0.375 0.250 0.625 Si
0.625 0.750 0.375 Si
0.125 0.750 0.875 Nd
0.875 0.250 0.125 Nd
```

Output
* spin magnetization: 1.00 μB/f.u.
* uncorrected energy: -7.7422 eV per atom
* symmetry: I4_1/amd, No. 141

=====

Material: CuReAgBi
Method: DFT, PBE-GGA
State: relaxed

The structure in POSCAR format:
```
CuReAgBi
1.0
0.512 -0.803 4.550
1.925 3.233 2.728
-2.616 2.303 3.076
Bi Ag Re Cu
1 1 1 1
Direct
0.000 0.000 0.000 Bi
0.500 0.500 0.500 Ag
0.250 0.250 0.250 Re
0.750 0.750 0.750 Cu
```

Output
* spin magnetization: 0.00 μB/f.u.
* uncorrected energy: -4.9257 eV per atom
* symmetry: F-43m, No. 216

=====

Material: SrSb2Ir
Method: DFT, PBE-GGA
State: relaxed

The structure in POSCAR format:
```
SrSb2Ir
1.0
0.000 3.664 3.664
3.664 0.000 3.664
3.664 3.664 0.000
Sb Ir Sr
2 1 1
Direct
0.000 0.000 0.000 Sb
0.250 0.250 0.250 Sb
0.500 0.500 0.500 Ir
0.750 0.750 0.750 Sr
```

Output
* spin magnetization: 0.49 μB/f.u.
* uncorrected energy: -4.5495 eV per atom
* symmetry: F-43m, No. 216

=====

Material: Nb4CuPC2
Method: DFT, PBE-GGA
State: relaxed

The structure in POSCAR format:
```
Nb4CuPC2
1.0
3.242 0.000 0.000
-1.621 2.808 0.000
0.000 0.000 12.296
C Nb P Cu
2 4 1 1
Direct
0.333 0.667 0.745 C
0.333 0.667 0.255 C
0.000 0.000 0.641 Nb
0.667 0.333 0.835 Nb
0.667 0.333 0.165 Nb
0.000 0.000 0.359 Nb
0.667 0.333 0.500 P
0.000 0.000 0.000 Cu
```

Output
* spin magnetization: 0.01 μB/f.u.
* uncorrected energy: -8.9702 eV per atom
* symmetry: P-6m2, No. 187

=====

Material: RbCoTe2AuS
Method: DFT, PBE-GGA
State: relaxed

The structure in POSCAR format:
```
RbCoTe2AuS
1.0
1.974 -7.344 0.000
1.974 7.344 0.000
0.000 0.000 11.590
Co Te Rb Au S
2 4 2 2 2
Direct
0.000 0.000 0.000 Co
0.000 0.000 0.500 Co
0.611 0.389 0.034 Te
0.389 0.611 0.966 Te
0.389 0.611 0.534 Te
0.611 0.389 0.466 Te
0.745 0.255 0.750 Rb
0.255 0.745 0.250 Rb
0.465 0.535 0.750 Au
0.535 0.465 0.250 Au
0.937 0.063 0.250 S
0.063 0.937 0.750 S
```

Output
* spin magnetization: 2.10 μB/f.u.
* uncorrected energy: -3.7443 eV per atom
* symmetry: Cmcm, No. 63

=====

Material: Y2Nb4Cd3N3
Method: DFT, PBE-GGA
State: relaxed

The structure in POSCAR format:
```
Y2Nb4Cd3N3
1.0
4.983 -2.885 0.000
4.983 2.885 0.000
-3.385 0.000 14.199
Y N Nb Cd
4 6 8 6
Direct
0.537 0.377 0.609 Y
0.463 0.623 0.391 Y
0.377 0.537 0.109 Y
0.623 0.463 0.891 Y
0.500 0.000 0.500 N
0.339 0.822 0.000 N
0.661 0.178 0.000 N
0.822 0.339 0.500 N
0.000 0.500 0.000 N
0.178 0.661 0.500 N
0.980 0.806 0.931 Nb
0.853 0.691 0.569 Nb
0.691 0.853 0.069 Nb
0.806 0.980 0.431 Nb
0.020 0.194 0.069 Nb
0.309 0.147 0.931 Nb
0.194 0.020 0.569 Nb
0.147 0.309 0.431 Nb
0.057 0.943 0.750 Cd
0.416 0.109 0.250 Cd
0.584 0.891 0.750 Cd
0.891 0.584 0.250 Cd
0.109 0.416 0.750 Cd
0.943 0.057 0.250 Cd
```

Output
* spin magnetization: 0.00 μB/f.u.
* uncorrected energy: -7.4783 eV per atom
* symmetry: C2/c, No. 15

=====

Material: GdDy2Y3CoTe2
Method: DFT, PBE-GGA
State: relaxed

The structure in POSCAR format:
```
GdDy2Y3CoTe2
1.0
-0.786 1.860 -2.592
-4.156 -7.508 -4.128
-5.091 5.727 5.654
Dy Y Te Gd Co
2 3 2 1 1
Direct
0.500 0.708 0.002 Dy
0.500 0.002 0.708 Dy
0.500 0.357 0.999 Y
0.500 0.999 0.357 Y
0.500 0.653 0.653 Y
0.500 0.665 0.335 Te
0.500 0.335 0.665 Te
0.500 0.296 0.296 Gd
0.500 0.986 0.986 Co
```

Output
* spin magnetization: 1.59 μB/f.u.
* uncorrected energy: -4.9194 eV per atom
* symmetry: Amm2, No. 38

=====

Material: CdAu17
Method: DFT, PBE-GGA
State: relaxed

The structure in POSCAR format:
```
CdAu17
1.0
5.011 0.000 0.000
0.000 5.846 0.000
-0.179 0.000 35.241
Au Cd
34 2
Direct
0.000 0.250 0.000 Au
0.334 0.750 0.931 Au
0.500 0.002 0.792 Au
0.001 0.250 0.208 Au
0.999 0.750 0.792 Au
0.500 0.500 0.000 Au
0.000 0.750 0.000 Au
0.834 0.000 0.931 Au
0.833 0.500 0.139 Au
0.166 0.000 0.069 Au
0.833 0.500 0.721 Au
0.833 0.000 0.721 Au
0.333 0.750 0.721 Au
0.667 0.250 0.279 Au
0.667 0.750 0.861 Au
0.500 0.502 0.208 Au
0.500 0.498 0.792 Au
0.167 0.500 0.861 Au
0.666 0.250 0.069 Au
0.667 0.250 0.861 Au
0.333 0.750 0.139 Au
0.002 0.250 0.791 Au
0.998 0.750 0.209 Au
0.333 0.250 0.931 Au
0.166 0.500 0.069 Au
0.167 0.500 0.279 Au
0.667 0.750 0.069 Au
0.167 0.000 0.861 Au
0.167 0.000 0.279 Au
0.500 0.998 0.208 Au
0.500 0.000 0.000 Au
0.834 0.500 0.931 Au
0.833 0.000 0.139 Au
0.333 0.250 0.139 Au
0.333 0.250 0.714 Cd
0.667 0.750 0.286 Cd
```

Output
* E_form: 0.03 eV/atom
* symmetry: P2_1/m, No. 11

=====

Material: NdSiOs
Method: DFT, PBE-GGA
State: relaxed

The structure in POSCAR format:
```
NdSiOs
1.0
2.473 2.622 2.746
-1.627 1.203 4.054
1.807 -1.740 3.773
Os Nd Si
1 1 1
Direct
0.000 0.000 0.000 Os
0.250 0.250 0.250 Nd
0.750 0.750 0.750 Si
```

Output
* spin magnetization: 0.01 μB/f.u.
* uncorrected energy: -7.0151 eV per atom
* symmetry: F-43m, No. 216

=====

Material: Pr2CuSi2Ni
Method: DFT, PBE-GGA
State: relaxed

The structure in POSCAR format:
```
Pr2CuSi2Ni
1.0
-0.948 2.047 3.433
0.502 -4.075 0.112
8.163 1.051 1.627
Si Pr Cu Ni
2 2 1 1
Direct
0.333 0.667 0.000 Si
0.000 0.000 0.500 Si
0.667 0.333 0.743 Pr
0.667 0.333 0.257 Pr
0.000 0.000 0.000 Cu
0.333 0.667 0.500 Ni
```

Output
* spin magnetization: 0.00 μB/f.u.
* uncorrected energy: -5.5991 eV per atom
* symmetry: P-6m2, No. 187

=====

Material: Na4Ta4O11
Method: DFT, PBE-GGA
State: relaxed

The structure in POSCAR format:
```
Na4Ta4O11
1.0
-4.847 -1.876 -1.714
-0.239 -3.372 4.388
-3.575 5.532 4.057
Ta Na O
4 4 11
Direct
0.001 0.500 0.001 Ta
0.001 0.500 0.499 Ta
0.506 0.000 0.004 Ta
0.506 0.000 0.496 Ta
0.007 0.977 0.750 Na
0.491 0.475 0.750 Na
0.999 0.023 0.250 Na
0.502 0.526 0.250 Na
0.789 0.787 0.040 O
0.425 0.984 0.250 O
0.287 0.709 0.527 O
0.789 0.787 0.460 O
0.716 0.286 0.458 O
0.921 0.517 0.750 O
0.211 0.217 0.974 O
0.211 0.217 0.526 O
0.716 0.286 0.042 O
0.287 0.709 0.973 O
0.562 0.014 0.750 O
```

Output
* spin magnetization: 0.08 μB/f.u.
* uncorrected energy: -8.0977 eV per atom
* symmetry: Pm, No. 6

=====

Material: RbZn
Method: DFT, PBE-GGA
State: relaxed

The structure in POSCAR format:
```
RbZn
1.0
12.255 0.000 0.000
0.000 8.227 0.000
0.000 0.000 6.564
Rb Zn
8 8
Direct
0.239 0.000 0.500 Rb
0.720 0.252 0.000 Rb
0.946 0.248 0.500 Rb
0.720 0.748 0.000 Rb
0.088 0.500 0.000 Rb
0.578 0.000 0.500 Rb
0.428 0.500 0.000 Rb
0.946 0.752 0.500 Rb
0.054 0.000 0.000 Zn
0.252 0.158 0.000 Zn
0.613 0.500 0.500 Zn
0.441 0.000 0.000 Zn
0.415 0.658 0.500 Zn
0.225 0.500 0.500 Zn
0.252 0.842 0.000 Zn
0.415 0.342 0.500 Zn
```

Output
* uncorrected energy: -0.9132 eV per atom
* symmetry: Pmmn, No. 59

=====

Material: ZrSnPd2
Method: DFT, PBE-GGA
State: relaxed

The structure in POSCAR format:
```
ZrSnPd2
1.0
3.518 0.000 0.000
0.000 3.518 0.000
0.000 0.000 6.142
Pd Sn Zr
2 1 1
Direct
0.500 0.500 0.728 Pd
0.500 0.500 0.272 Pd
0.000 0.000 0.000 Sn
0.000 0.000 0.500 Zr
```

Output
* spin magnetization: 0.00 μB/f.u.
* uncorrected energy: -6.3601 eV per atom
* symmetry: P4/mmm, No. 123

=====

Material: Tm2AlZn
Method: DFT, PBE-GGA
State: relaxed

The structure in POSCAR format:
```
Tm2AlZn
1.0
3.516 0.000 0.000
0.000 3.516 0.000
0.000 0.000 7.118
Al Zn Tm
1 1 2
Direct
0.000 0.000 0.500 Al
0.000 0.000 0.000 Zn
0.500 0.500 0.755 Tm
0.500 0.500 0.245 Tm
```

Output
* spin magnetization: 0.00 μB/f.u.
* uncorrected energy: -3.8724 eV per atom
* symmetry: P4/mmm, No. 123

=====

Material: BaPrAgO3
Method: DFT, PBE-GGA
State: relaxed

The structure in POSCAR format:
```
BaPrAgO3
1.0
1.341 1.151 6.609
-2.696 2.370 -5.824
-7.968 -3.567 2.238
Pr O Ba Ag
2 6 2 2
Direct
0.000 0.000 0.500 Pr
0.000 0.000 0.000 Pr
0.616 0.384 0.022 O
0.616 0.384 0.478 O
0.937 0.063 0.250 O
0.384 0.616 0.978 O
0.384 0.616 0.522 O
0.063 0.937 0.750 O
0.310 0.690 0.250 Ba
0.690 0.310 0.750 Ba
0.393 0.607 0.750 Ag
0.607 0.393 0.250 Ag
```

Output
* spin magnetization: 0.00 μB/f.u.
* uncorrected energy: -6.2394 eV per atom
* symmetry: Cmcm, No. 63

=====

Material: LuUPa
Method: DFT, PBE-GGA
State: relaxed

The structure in POSCAR format:
```
LuUPa
1.0
0.000 3.508 3.508
3.508 0.000 3.508
3.508 3.508 0.000
U Pa Lu
1 1 1
Direct
0.000 0.000 0.000 U
0.750 0.750 0.750 Pa
0.250 0.250 0.250 Lu
```

Output
* spin magnetization: 5.98 μB/f.u.
* E_form: 1.13 eV/atom
* symmetry: F-43m, No. 216

=====

Material: RbGaHgS3
Method: DFT, PBE-GGA
State: relaxed

The structure in POSCAR format:
```
RbGaHgS3
1.0
4.907 2.238 5.482
-6.329 -3.756 -2.234
6.388 -9.723 -1.749
Ga S Rb Hg
2 6 2 2
Direct
0.023 0.977 0.750 Ga
0.977 0.023 0.250 Ga
0.893 0.107 0.413 S
0.107 0.893 0.587 S
0.893 0.107 0.087 S
0.107 0.893 0.913 S
0.570 0.430 0.250 S
0.430 0.570 0.750 S
0.252 0.748 0.250 Rb
0.748 0.252 0.750 Rb
0.500 0.500 0.500 Hg
0.500 0.500 0.000 Hg
```

Output
* uncorrected energy: -3.4295 eV per atom
* symmetry: Cmcm, No. 63